(1)
Computed, not measured: a relaxed structure of FeOF at the GGA+U level of DFT.

Unit cell a=5.601 b=5.638 c=7.699 alpha=69.80 beta=69.71 gamma=69.58
Fractional coordinates of all 18 atoms:
Fe: 0.000 0.000 0.000
Fe: 0.018 0.026 0.522
Fe: 0.332 0.328 0.180
Fe: 0.354 0.290 0.678
Fe: 0.644 0.652 0.854
Fe: 0.668 0.669 0.344
O: 0.117 0.089 0.719
O: 0.294 0.683 0.017
O: 0.370 0.970 0.347
O: 0.658 0.002 0.680
O: 0.690 0.294 0.011
O: 0.974 0.371 0.346
F: 0.046 0.612 0.681
F: 0.225 0.218 0.983
F: 0.445 0.441 0.377
F: 0.569 0.547 0.642
F: 0.765 0.758 0.048
F: 0.902 0.898 0.300

Results
- Total energy: -5.91 eV/atom
- N(E_F): 0.13 states/eV per atom
- Symmetry: P1 (1)



(2)
Computed, not measured: a relaxed structure of Fe6O7F5 at the GGA+U level of DFT.

Unit cell a=4.714 b=5.592 c=7.704 alpha=85.36 beta=89.09 gamma=88.89
Fractional coordinates of all 18 atoms:
Fe: 0.000 0.000 0.000
Fe: 0.005 0.662 0.332
Fe: 0.051 0.326 0.675
Fe: 0.451 0.819 0.661
Fe: 0.517 0.164 0.336
Fe: 0.544 0.481 0.996
O: 0.198 0.025 0.779
O: 0.205 0.371 0.437
O: 0.307 0.871 0.429
O: 0.324 0.527 0.779
O: 0.708 0.458 0.231
O: 0.812 0.956 0.226
O: 0.824 0.286 0.897
F: 0.212 0.701 0.095
F: 0.316 0.202 0.103
F: 0.703 0.119 0.572
F: 0.707 0.788 0.892
F: 0.809 0.628 0.573

Results
- N(E_F): 0.28 states/eV per atom
- Energy above the lowest structure with this stoichiometry: 0.098 eV/atom
- Symmetry: P1 (1)



(3)
Computed, not measured: a relaxed structure of FeOF at the GGA+U level of DFT.

Unit cell a=4.792 b=4.792 c=12.191 alpha=90.00 beta=90.00 gamma=89.89
Fractional coordinates of all 24 atoms:
Fe: 0.000 0.000 0.000
Fe: 0.005 0.993 0.251
Fe: 0.007 0.995 0.749
Fe: 0.422 0.503 0.875
Fe: 0.435 0.488 0.375
Fe: 0.497 0.578 0.125
Fe: 0.512 0.565 0.625
Fe: 0.935 0.065 0.500
O: 0.149 0.207 0.375
O: 0.158 0.200 0.874
O: 0.289 0.711 0.000
O: 0.291 0.708 0.747
O: 0.292 0.709 0.253
O: 0.651 0.349 0.500
O: 0.793 0.851 0.625
O: 0.800 0.842 0.126
F: 0.175 0.232 0.624
F: 0.191 0.220 0.126
F: 0.269 0.731 0.500
F: 0.674 0.324 0.249
F: 0.675 0.325 0.000
F: 0.676 0.326 0.751
F: 0.768 0.825 0.376
F: 0.780 0.809 0.874

Results
- Total energy: -6.01 eV/atom
- N(E_F): 0.00 states/eV per atom
- Symmetry: C2 (5)



(4)
Computed, not measured: a relaxed structure of Fe3O2F2 at the GGA+U level of DFT.

Unit cell a=6.409 b=3.235 c=8.562 alpha=90.00 beta=90.00 gamma=90.00
Fractional coordinates of all 14 atoms:
Fe: 0.000 0.000 0.000
Fe: 0.250 0.000 0.319
Fe: 0.250 0.500 0.723
Fe: 0.500 0.000 0.000
Fe: 0.750 0.000 0.681
Fe: 0.750 0.500 0.277
O: 0.032 0.000 0.770
O: 0.468 0.000 0.770
O: 0.532 0.000 0.230
O: 0.968 0.000 0.230
F: 0.250 0.500 0.007
F: 0.250 0.500 0.481
F: 0.750 0.500 0.519
F: 0.750 0.500 0.993

Results
- Energy above the lowest structure with this stoichiometry: 0.034 eV/atom
- Symmetry: Pmma (51)



(5)
Computed, not measured: a relaxed structure of FeOF at the GGA+U level of DFT.

Unit cell a=6.282 b=6.282 c=3.981 alpha=90.00 beta=90.00 gamma=90.00
Fractional coordinates of all 12 atoms:
Fe: 0.000 0.257 0.000
Fe: 0.000 0.743 0.000
Fe: 0.257 0.000 0.500
Fe: 0.743 0.000 0.500
O: 0.000 0.214 0.500
O: 0.000 0.786 0.500
O: 0.214 0.000 0.000
O: 0.786 0.000 0.000
F: 0.202 0.500 0.000
F: 0.500 0.202 0.500
F: 0.500 0.798 0.500
F: 0.798 0.500 0.000

Results
- Total energy: -5.99 eV/atom
- Symmetry: P4_2/mmc (131)



(6)
Computed, not measured: a relaxed structure of FeOF at the GGA+U level of DFT.

Unit cell a=4.766 b=4.769 c=12.274 alpha=90.00 beta=90.05 gamma=90.00
Fractional coordinates of all 24 atoms:
Fe: 0.204 0.000 0.063
Fe: 0.220 0.017 0.562
Fe: 0.227 0.010 0.812
Fe: 0.271 0.934 0.313
Fe: 0.729 0.434 0.687
Fe: 0.773 0.510 0.188
Fe: 0.780 0.517 0.438
Fe: 0.796 0.500 0.937
O: 0.062 0.807 0.935
O: 0.065 0.797 0.188
O: 0.071 0.799 0.440
O: 0.423 0.169 0.687
O: 0.577 0.669 0.313
O: 0.929 0.299 0.560
O: 0.935 0.297 0.812
O: 0.938 0.307 0.065
F: 0.032 0.789 0.687
F: 0.443 0.201 0.939
F: 0.453 0.185 0.188
F: 0.453 0.186 0.435
F: 0.547 0.685 0.812
F: 0.547 0.686 0.565
F: 0.557 0.701 0.061
F: 0.968 0.289 0.313

Results
- Total energy: -6.01 eV/atom
- N(E_F): 0.00 states/eV per atom
- Symmetry: P2_1 (4)



(7)
Computed, not measured: a relaxed structure of Fe6O5F7 at the GGA+U level of DFT.

Unit cell a=4.722 b=5.677 c=7.855 alpha=85.49 beta=89.51 gamma=88.97
Fractional coordinates of all 18 atoms:
Fe: 0.000 0.000 0.000
Fe: 0.015 0.346 0.673
Fe: 0.064 0.651 0.318
Fe: 0.471 0.813 0.645
Fe: 0.488 0.169 0.346
Fe: 0.504 0.498 0.984
O: 0.177 0.364 0.442
O: 0.206 0.714 0.087
O: 0.298 0.858 0.434
O: 0.312 0.536 0.765
O: 0.817 0.288 0.900
F: 0.214 0.033 0.770
F: 0.308 0.206 0.090
F: 0.700 0.482 0.220
F: 0.710 0.797 0.888
F: 0.711 0.112 0.586
F: 0.800 0.630 0.561
F: 0.807 0.969 0.228

Results
- Energy above the lowest structure with this stoichiometry: 0.000 eV/atom
- Symmetry: P1 (1)



(8)
Computed, not measured: a relaxed structure of Fe4OF7 at the GGA+U level of DFT.

Unit cell a=5.809 b=5.809 c=9.426 alpha=93.25 beta=93.25 gamma=71.38
Fractional coordinates of all 24 atoms:
Fe: 0.000 0.500 0.500
Fe: 0.118 0.646 0.131
Fe: 0.233 0.767 0.750
Fe: 0.354 0.882 0.369
Fe: 0.500 0.000 0.000
Fe: 0.646 0.118 0.631
Fe: 0.767 0.233 0.250
Fe: 0.882 0.354 0.869
O: 0.065 0.935 0.250
O: 0.935 0.065 0.750
F: 0.020 0.527 0.724
F: 0.190 0.308 0.002
F: 0.235 0.713 0.524
F: 0.287 0.765 0.976
F: 0.308 0.190 0.502
F: 0.454 0.546 0.250
F: 0.473 0.980 0.776
F: 0.527 0.020 0.224
F: 0.546 0.454 0.750
F: 0.692 0.810 0.498
F: 0.713 0.235 0.024
F: 0.765 0.287 0.476
F: 0.810 0.692 0.998
F: 0.980 0.473 0.276

Results
- Energy above the lowest structure with this stoichiometry: 0.023 eV/atom
- Symmetry: C2/c (15)



(9)
Computed, not measured: a relaxed structure of Fe2O3F at the GGA+U level of DFT.

Unit cell a=2.987 b=4.643 c=4.643 alpha=86.55 beta=90.00 gamma=90.00
Fractional coordinates of all 6 atoms:
Fe: 0.000 0.000 0.000
Fe: 0.500 0.471 0.471
O: 0.000 0.290 0.681
O: 0.000 0.681 0.290
O: 0.500 0.177 0.177
F: 0.500 0.796 0.796

Results
- N(E_F): 0.21 states/eV per atom
- Energy above the lowest structure with this stoichiometry: 0.148 eV/atom
- Symmetry: Amm2 (38)



(10)
Computed, not measured: a relaxed structure of Fe4OF7 at the GGA+U level of DFT.

Unit cell a=6.499 b=4.801 c=9.611 alpha=90.00 beta=90.08 gamma=90.00
Fractional coordinates of all 24 atoms:
Fe: 0.105 0.000 0.135
Fe: 0.125 0.970 0.633
Fe: 0.370 0.502 0.872
Fe: 0.372 0.485 0.378
Fe: 0.628 0.985 0.622
Fe: 0.630 0.002 0.128
Fe: 0.875 0.470 0.367
Fe: 0.895 0.500 0.865
O: 0.112 0.677 0.782
O: 0.888 0.177 0.218
F: 0.112 0.270 0.972
F: 0.128 0.278 0.482
F: 0.131 0.692 0.272
F: 0.355 0.191 0.219
F: 0.358 0.806 0.031
F: 0.379 0.780 0.528
F: 0.386 0.181 0.732
F: 0.614 0.681 0.268
F: 0.621 0.280 0.472
F: 0.642 0.306 0.969
F: 0.645 0.691 0.781
F: 0.869 0.192 0.728
F: 0.872 0.778 0.518
F: 0.888 0.770 0.028

Results
- Energy above the lowest structure with this stoichiometry: 0.006 eV/atom
- Symmetry: P2_1 (4)



(11)
Computed, not measured: a relaxed structure of Fe3O5F at the GGA+U level of DFT.

Unit cell a=5.471 b=5.471 c=7.338 alpha=109.19 beta=109.19 gamma=70.74
Fractional coordinates of all 18 atoms:
Fe: 0.000 0.000 0.000
Fe: 0.000 0.000 0.500
Fe: 0.329 0.329 0.341
Fe: 0.345 0.345 0.836
Fe: 0.655 0.655 0.164
Fe: 0.671 0.671 0.659
O: 0.034 0.640 0.833
O: 0.230 0.230 0.547
O: 0.302 0.698 0.500
O: 0.360 0.966 0.167
O: 0.436 0.436 0.122
O: 0.564 0.564 0.878
O: 0.640 0.034 0.833
O: 0.698 0.302 0.500
O: 0.770 0.770 0.453
O: 0.966 0.360 0.167
F: 0.110 0.110 0.805
F: 0.890 0.890 0.195

Results
- N(E_F): 0.19 states/eV per atom
- Energy above the lowest structure with this stoichiometry: 0.081 eV/atom
- Symmetry: C2/m (12)



(12)
Computed, not measured: a relaxed structure of FeOF at the GGA+U level of DFT.

Unit cell a=4.828 b=4.828 c=6.044 alpha=90.00 beta=90.00 gamma=90.00
Fractional coordinates of all 12 atoms:
Fe: 0.041 0.041 0.000
Fe: 0.459 0.541 0.250
Fe: 0.541 0.459 0.750
Fe: 0.959 0.959 0.500
O: 0.177 0.823 0.250
O: 0.323 0.323 0.000
O: 0.677 0.677 0.500
O: 0.823 0.177 0.750
F: 0.202 0.798 0.750
F: 0.298 0.298 0.500
F: 0.702 0.702 0.000
F: 0.798 0.202 0.250

Results
- Total energy: -6.01 eV/atom
- N(E_F): 0.00 states/eV per atom
- Symmetry: P4_12_12 (92)